Record 1
Below is a relaxed structure of MnAgRu2, with properties calculated at the PBE level.

Geometry as CIF:
```
data_MnAgRu2
_chemical_formula_sum 'Mn2 Ag2 Ru4'
_cell_length_a 2.855
_cell_length_b 4.615
_cell_length_c 9.172
_cell_angle_alpha 90.00
_cell_angle_beta 90.00
_cell_angle_gamma 90.00
_symmetry_space_group_name_H-M 'C m m 2'
_symmetry_Int_Tables_number 35
loop_
_symmetry_equiv_pos_as_xyz
'x,y,z'
'-x,-y,z'
'-x,y,z'
'x,-y,z'
'x+1/2,y+1/2,z'
'-x+1/2,-y+1/2,z'
'-x+1/2,y+1/2,z'
'x+1/2,-y+1/2,z'
loop_
_atom_site_label
_atom_site_type_symbol
_atom_site_fract_x
_atom_site_fract_y
_atom_site_fract_z
_atom_site_occupancy
Mn1 Mn 0.000 0.000 0.000 1
Ag1 Ag 0.000 0.500 0.259 1
Ru1 Ru 0.000 0.000 0.531 1
Ru2 Ru 0.000 0.500 0.771 1
```

## Properties
The volume is 15.11 A^3/atom. The energy above the most stable polymorph in this dataset is 4.752 kcal/mol of atoms. Its density is 10.0 g cm⁻³.

---

Record 2
Below is a relaxed structure of Mn2AgRu, with properties calculated at the PBE level.

Geometry as CIF:
```
data_Mn2AgRu
_chemical_formula_sum 'Mn4 Ag2 Ru2'
_cell_length_a 8.685
_cell_length_b 2.786
_cell_length_c 5.029
_cell_angle_alpha 90.00
_cell_angle_beta 99.20
_cell_angle_gamma 90.00
_symmetry_space_group_name_H-M 'C 1 2/m 1'
_symmetry_Int_Tables_number 12
loop_
_symmetry_equiv_pos_as_xyz
'x,y,z'
'-x,-y,-z'
'-x,y,-z'
'x,-y,z'
'x+1/2,y+1/2,z'
'-x+1/2,-y+1/2,-z'
'-x+1/2,y+1/2,-z'
'x+1/2,-y+1/2,z'
loop_
_atom_site_label
_atom_site_type_symbol
_atom_site_fract_x
_atom_site_fract_y
_atom_site_fract_z
_atom_site_occupancy
Mn1 Mn 0.245 0.000 0.230 1
Ag1 Ag 0.000 0.000 0.500 1
Ru1 Ru 0.000 0.500 0.000 1
```

## Properties
The volume is 15.01 A^3/atom. The total energy comes out at -57.618 eV per cell. Its density is 8.8 g cm⁻³.